# GGA-PBEsol CoTc2Se, optimized geometry
# - crystal system = orthorhombic
# - E (hartree per atom) = -0.298
data_CoTc2Se
_chemical_formula_sum 'Co1 Tc2 Se1'
_cell_length_a 2.984
_cell_length_b 4.203
_cell_length_c 4.348
_cell_angle_alpha 90.00
_cell_angle_beta 90.00
_cell_angle_gamma 90.00
_space_group_name_H-M_alt 'P m m m'
_space_group_IT_number 47
loop_
_space_group_symop_operation_xyz
'x,y,z'
'-x,-y,-z'
'-x,-y,z'
'x,y,-z'
'x,-y,-z'
'-x,y,z'
'-x,y,-z'
'x,-y,z'
loop_
_atom_site_label
_atom_site_type_symbol
_atom_site_fract_x
_atom_site_fract_y
_atom_site_fract_z
Co1 Co 0.000 0.000 0.000
Tc1 Tc 0.000 0.500 0.500
Tc2 Tc 0.500 0.000 0.500
Se1 Se 0.500 0.500 0.000

# GGA-PBEsol CoTeSe2, optimized geometry
# - crystal system = trigonal
# - E (hartree per atom) = -0.180
data_CoTeSe2
_chemical_formula_sum 'Co3 Te3 Se6'
_cell_length_a 3.3716
_cell_length_b 3.3716
_cell_length_c 23.9531
_cell_angle_alpha 90.00
_cell_angle_beta 90.00
_cell_angle_gamma 120.00
_space_group_name_H-M_alt 'R -3 m'
_space_group_IT_number 166
_space_group_name_Hall '-R 3 2"'
loop_
_atom_site_label
_atom_site_type_symbol
_atom_site_fract_x
_atom_site_fract_y
_atom_site_fract_z
Co1 Co 0.0000 0.0000 0.0000
Te1 Te 0.0000 0.0000 0.5000
Se1 Se 0.0000 0.0000 0.2793

# GGA-PBEsol CoTeSe2, optimized geometry
# - crystal system = trigonal
# - E (hartree per atom) = -0.176
data_CoTeSe2
_chemical_formula_sum 'Co3 Te3 Se6'
_cell_length_a 3.5797
_cell_length_b 3.5797
_cell_length_c 21.1558
_cell_angle_alpha 90.00
_cell_angle_beta 90.00
_cell_angle_gamma 120.00
_space_group_name_H-M_alt 'R 3 m'
_space_group_IT_number 160
_space_group_name_Hall 'R 3 -2"'
loop_
_atom_site_label
_atom_site_type_symbol
_atom_site_fract_x
_atom_site_fract_y
_atom_site_fract_z
Co1 Co 0.0000 0.0000 0.0000
Te1 Te 0.0000 0.0000 0.2598
Se1 Se 0.0000 0.0000 0.4998
Se2 Se 0.0000 0.0000 0.7169